Compound: AlGa3Rh
Source: the Alexandria database
Functional: PBE
Structure: relaxed

Structure (POSCAR):
```
AlGa3Rh
1.0
4.756 0.000 0.000
0.000 4.756 0.000
0.000 0.000 4.756
Ga Al Rh
3 1 1
Direct
0.500 0.000 0.000 Ga
0.000 0.500 0.000 Ga
0.000 0.000 0.500 Ga
0.000 0.000 0.000 Al
0.500 0.500 0.500 Rh
```

Output
Density of states at the Fermi level (states/eV/atom): 0.936
Calculated formation energy (eV per atom): 0.770
Total magnetization (μB/cell): 0.00
Symmetry: Pm-3m
Polymorph energy (0 for the lowest one) (meV per atom): 1070

Compound: Al4GaRh5
Source: the Alexandria database
Functional: PBE
Structure: relaxed

Structure (POSCAR):
```
Al4GaRh5
1.0
3.007 0.000 0.000
0.000 3.007 0.000
0.000 0.000 15.059
Al Rh Ga
4 5 1
Direct
0.000 0.000 0.600 Al
0.000 0.000 0.400 Al
0.000 0.000 0.201 Al
0.000 0.000 0.799 Al
0.500 0.500 0.699 Rh
0.500 0.500 0.500 Rh
0.500 0.500 0.301 Rh
0.500 0.500 0.101 Rh
0.500 0.500 0.899 Rh
0.000 0.000 0.000 Ga
```

Output
Density of states at the Fermi level (states/eV/atom): 0.308
Calculated formation energy (eV per atom): -1.010
Total magnetization (μB/cell): 0.00
Symmetry: P4/mmm

Compound: Al3GaRh4
Source: the Alexandria database
Functional: PBE
Structure: relaxed

Structure (POSCAR):
```
Al3GaRh4
1.0
-0.368 3.738 -2.009
-5.970 -0.229 0.667
0.677 4.071 7.453
Al Rh Ga
6 8 2
Direct
0.500 0.000 0.250 Al
0.500 0.500 0.750 Al
0.500 0.500 0.250 Al
0.000 0.000 0.500 Al
0.000 0.000 0.000 Al
0.500 0.000 0.750 Al
0.500 0.751 0.500 Rh
0.500 0.249 0.500 Rh
0.000 0.751 0.250 Rh
0.000 0.249 0.250 Rh
0.000 0.751 0.750 Rh
0.500 0.751 0.000 Rh
0.000 0.249 0.750 Rh
0.500 0.249 0.000 Rh
0.000 0.500 0.000 Ga
0.000 0.500 0.500 Ga
```

Output
Density of states at the Fermi level (states/eV/atom): 0.251
Calculated formation energy (eV per atom): -0.992
Total magnetization (μB/cell): 0.00
Symmetry: P4/mmm

Compound: AlGa3Rh
Source: the Alexandria database
Functional: PBE
Structure: relaxed

Structure (POSCAR):
```
AlGa3Rh
1.0
5.642 -0.144 -0.165
-0.798 8.035 0.111
-0.798 -0.993 7.974
Al Ga Rh
4 12 4
Direct
0.922 0.601 0.129 Al
0.422 0.129 0.601 Al
0.078 0.399 0.871 Al
0.578 0.871 0.399 Al
0.533 0.627 0.645 Ga
0.967 0.355 0.373 Ga
0.033 0.645 0.627 Ga
0.415 0.624 0.090 Ga
0.585 0.376 0.910 Ga
0.490 0.883 0.848 Ga
0.085 0.910 0.376 Ga
0.010 0.152 0.117 Ga
0.990 0.848 0.883 Ga
0.510 0.117 0.152 Ga
0.467 0.373 0.355 Ga
0.915 0.090 0.624 Ga
0.250 0.628 0.372 Rh
0.750 0.372 0.628 Rh
0.750 0.872 0.128 Rh
0.250 0.128 0.872 Rh
```

Output
Density of states at the Fermi level (states/eV/atom): 0.288
Calculated formation energy (eV per atom): -0.300
Total magnetization (μB/cell): 0.00
Symmetry: C2/c
Polymorph energy (0 for the lowest one) (meV per atom): 0